# LiYZr2Ru

LiYZr2Ru after structural relaxation (PBE, the Alexandria database).

Calculated values
- Calculated volume: 26.54 Å³/atom
- Spin magnetization: 0.00 μB/cell
- Energy of formation: 136 kJ/mol of atoms
- Crystal system: tetragonal
- DOS(E_F): 1.220 states/eV/atom
- SG: P4/mmm (123)

Unit cell a=5.2758 b=4.7681 c=5.2758 alpha=90.00 beta=90.00 gamma=90.00
Closest atoms and distances in Å follow each position.
Atoms (fractional coordinates):
Ru1 0.0000 0.5000 0.0000  2 Y 2.38
Zr1 0.0000 0.0000 0.5000  2 Y 2.64
Zr2 0.5000 0.0000 0.0000  2 Y 2.64
Y1 0.0000 0.0000 0.0000  2 Ru 2.38, 4 Zr 2.64
Li1 0.5000 0.5000 0.5000  8 Zr 3.56, 4 Ru 3.73

***

# MnCrIn2

MnCrIn2 after structural relaxation (PBE, the Alexandria database).

Calculated values
- Calculated volume: 17.80 Å³/atom
- Spin magnetization: 6.20 μB/cell
- Energy of formation: 31 kJ/mol of atoms
- E above lowest polymorph: 88 meV/atom
- Crystal system: tetragonal
- DOS(E_F): 0.759 states/eV/atom
- SG: I4/mmm (139)

Unit cell a=4.9399 b=4.9399 c=4.9399 alpha=128.83 beta=128.82 gamma=75.29
Closest atoms and distances in Å follow each position.
Atoms (fractional coordinates):
In1 0.5000 0.5000 0.0000  4 Cr 2.89, 4 Mn 2.89, 4 In 3.02
Cr1 0.2500 0.7500 0.5000  8 In 2.89, 4 Mn 3.02
In2 0.0000 0.0000 0.0000  4 Cr 2.89, 4 Mn 2.89, 4 In 3.02
Mn1 0.7500 0.2500 0.5000  8 In 2.89, 4 Cr 3.02

***

# CuOs2Pt

CuOs2Pt after structural relaxation (PBE, the Alexandria database).

Calculated values
- Calculated volume: 14.60 Å³/atom
- Spin magnetization: 0.00 μB/cell
- Energy of formation: 47 kJ/mol of atoms
- E above lowest polymorph: 397 meV/atom
- Crystal system: orthorhombic
- DOS(E_F): 1.240 states/eV/atom
- SG: Cmmm (65)

Unit cell a=2.6847 b=2.6847 c=9.3201 alpha=90.00 beta=90.00 gamma=119.63
Closest atoms and distances in Å follow each position.
Atoms (fractional coordinates):
Os1 0.0000 0.0000 0.5104  2 Cu 2.61, 6 Os 2.68-2.70, 2 Pt 2.78
Pt1 0.5000 0.5000 0.2500  6 Pt 2.68-2.70, 4 Os 2.78
Cu1 0.5000 0.5000 0.7500  4 Os 2.61, 6 Cu 2.68-2.70
Os2 0.0000 0.0000 0.9896  2 Cu 2.61, 6 Os 2.68-2.70, 2 Pt 2.78

***

# TiCdO2F

TiCdO2F after structural relaxation (PBE, the Alexandria database).

Calculated values
- Calculated volume: 12.48 Å³/atom
- Spin magnetization: 0.00 μB/cell
- Crystal system: tetragonal
- DOS(E_F): 0.517 states/eV/atom
- Formation energy without anion corrections: -2.135 eV per atom
- SG: P4/mmm (123)

Unit cell a=3.9227 b=3.9227 c=4.0539 alpha=90.00 beta=90.00 gamma=90.00
Closest atoms and distances in Å follow each position.
Atoms (fractional coordinates):
Ti1 0.0000 0.0000 0.0000  4 O 1.96, 2 F 2.03
F1 0.0000 0.0000 0.5000  2 Ti 2.03
O1 0.0000 0.5000 0.0000  2 Ti 1.96
O2 0.5000 0.0000 0.0000  2 Ti 1.96
Cd1 0.5000 0.5000 0.5000  4 F 2.77, 8 O 2.82

***

# La3Y3Ho

La3Y3Ho after structural relaxation (PBE, the Alexandria database).

Calculated values
- Calculated volume: 34.97 Å³/atom
- Spin magnetization: 0.00 μB/cell
- Energy of formation: 13 kJ/mol of atoms
- Crystal system: trigonal
- DOS(E_F): 1.493 states/eV/atom
- SG: R-3 (148)

Unit cell a=9.4962 b=9.4962 c=8.3280 alpha=55.24 beta=55.24 gamma=60.00
Closest atoms and distances in Å follow each position.
Atoms (fractional coordinates):
Y1 0.0230 0.4441 0.2220  5 La 3.43-3.66, 3 Y 3.45-3.54, 2 Ho 3.47-3.60
Y2 0.4441 0.3110 0.2220  5 La 3.43-3.66, 3 Y 3.45-3.54, 2 Ho 3.47-3.60
La1 0.8705 0.1668 0.2302  5 Y 3.43-3.66, 1 Ho 3.54, 4 La 3.57-3.65
Y3 0.3110 0.0230 0.2220  5 La 3.43-3.66, 3 Y 3.45-3.54, 2 Ho 3.47-3.60
Y4 0.9770 0.5559 0.7780  5 La 3.43-3.66, 3 Y 3.45-3.54, 2 Ho 3.47-3.60
La2 0.8332 0.2675 0.7698  5 Y 3.43-3.66, 1 Ho 3.54, 4 La 3.57-3.65
La3 0.1668 0.7325 0.2302  5 Y 3.43-3.66, 1 Ho 3.54, 4 La 3.57-3.65
Y5 0.5559 0.6891 0.7780  5 La 3.43-3.66, 3 Y 3.45-3.54, 2 Ho 3.47-3.60
La4 0.1295 0.8332 0.7698  5 Y 3.43-3.66, 1 Ho 3.54, 4 La 3.57-3.65
La5 0.2675 0.1295 0.7698  5 Y 3.43-3.66, 1 Ho 3.54, 4 La 3.57-3.65
Ho1 0.5916 0.5916 0.2253  1 Ho 3.44, 6 Y 3.47-3.60, 3 La 3.54
Ho2 0.4084 0.4084 0.7747  1 Ho 3.44, 6 Y 3.47-3.60, 3 La 3.54
Y6 0.6891 0.9770 0.7780  5 La 3.43-3.66, 3 Y 3.45-3.54, 2 Ho 3.47-3.60
La6 0.7325 0.8705 0.2302  5 Y 3.43-3.66, 1 Ho 3.54, 4 La 3.57-3.65

***

# AlSiAs4

AlSiAs4 after structural relaxation (PBE, the Alexandria database).

Calculated values
- Calculated volume: 20.25 Å³/atom
- Spin magnetization: 0.00 μB/cell
- Crystal system: cubic
- DOS(E_F): 0.653 states/eV/atom
- Formation energy without anion corrections: 0.605 eV per atom
- SG: F-43m (216)

Unit cell a=5.5598 b=5.5598 c=5.5598 alpha=60.00 beta=60.00 gamma=60.00
Closest atoms and distances in Å follow each position.
Atoms (fractional coordinates):
As1 0.3750 0.3750 0.8751  6 As 2.78
Al1 0.0000 0.0000 0.0000  12 As 3.26, 4 Si 3.40
As2 0.3750 0.3750 0.3750  6 As 2.78
As3 0.3750 0.8751 0.3750  6 As 2.78
As4 0.8751 0.3750 0.3750  6 As 2.78
Si1 0.7500 0.7500 0.7500  12 As 3.26, 4 Al 3.40

***

# ScAgC

ScAgC after structural relaxation (PBE, the Alexandria database).

Calculated values
- Calculated volume: 15.41 Å³/atom
- Spin magnetization: 0.00 μB/cell
- Energy of formation: 23 kJ/mol of atoms
- Crystal system: trigonal
- SG: R-3m (166)

Unit cell a=4.0819 b=4.0819 c=6.8268 alpha=72.60 beta=72.60 gamma=60.00
Closest atoms and distances in Å follow each position.
Atoms (fractional coordinates):
Ag1 0.8668 0.8668 0.3997  4 C 2.59-2.69, 3 Ag 2.68, 3 Sc 2.84
Sc1 0.6158 0.6158 0.1526  4 C 2.24-2.37
C1 0.2679 0.2679 0.1964  4 Sc 2.24-2.37
C2 0.7321 0.7321 0.8036  4 Sc 2.24-2.37
Sc2 0.3842 0.3842 0.8474  4 C 2.24-2.37
Ag2 0.1332 0.1332 0.6003  4 C 2.59-2.69, 3 Ag 2.68, 3 Sc 2.84

***

# MnCo7Ge4

MnCo7Ge4 after structural relaxation (PBE, the Alexandria database).

Calculated values
- Calculated volume: 13.08 Å³/atom
- Spin magnetization: 6.75 μB/cell
- Energy of formation: 16 kJ/mol of atoms
- Crystal system: monoclinic
- DOS(E_F): 1.262 states/eV/atom
- SG: C2/m (12)

Unit cell a=4.2466 b=7.1884 c=5.7953 alpha=80.52 beta=68.51 gamma=72.82
Closest atoms and distances in Å follow each position.
Atoms (fractional coordinates):
Co1 0.6434 0.4418 0.2714  5 Ge 2.36-2.47, 4 Co 2.61-2.64
Ge1 0.5835 0.2144 0.6186  8 Co 2.36-2.54
Co2 0.0756 0.6625 0.1864  5 Ge 2.36-2.63, 1 Mn 2.47, 4 Co 2.51-2.63
Co3 0.3566 0.5582 0.7286  5 Ge 2.36-2.47, 4 Co 2.61-2.64
Co4 0.5000 0.0000 0.0000  2 Mn 2.12, 2 Ge 2.37
Ge2 0.2839 0.3298 0.1024  6 Co 2.30-2.47
Co5 0.9244 0.3375 0.8136  5 Ge 2.36-2.63, 1 Mn 2.47, 4 Co 2.51-2.63
Ge3 0.7161 0.6702 0.8976  6 Co 2.30-2.47
Co6 0.7878 0.8779 0.5465  4 Ge 2.30-2.40, 1 Co 2.51
Co7 0.2122 0.1221 0.4535  4 Ge 2.30-2.40, 1 Co 2.51
Mn1 0.0000 0.0000 0.0000  2 Co 2.12
Ge4 0.4165 0.7856 0.3814  8 Co 2.36-2.54

***

# KAlS2

KAlS2 after structural relaxation (PBE, the Alexandria database).

Calculated values
- Calculated volume: 23.19 Å³/atom
- Spin magnetization: 0.00 μB/cell
- Crystal system: tetragonal
- DOS(E_F): 0.000 states/eV/atom
- Formation energy without anion corrections: -1.223 eV per atom
- SG: I-4m2 (119)

Unit cell a=3.6903 b=3.6905 c=7.2924 alpha=104.64 beta=104.66 gamma=90.00
Closest atoms and distances in Å follow each position.
Atoms (fractional coordinates):
S1 0.5715 0.2311 0.9286  2 Al 2.30
Al1 0.4713 0.6310 0.7282  4 S 2.30
K1 0.2214 0.8817 0.2282  8 S 3.31, 4 K 3.69
S2 0.8710 0.5309 0.5277  2 Al 2.30

***

# KNaPdO3

KNaPdO3 after structural relaxation (PBE, the Alexandria database).

Calculated values
- Calculated volume: 15.59 Å³/atom
- Spin magnetization: 0.00 μB/cell
- Crystal system: orthorhombic
- DOS(E_F): 0.153 states/eV/atom
- Formation energy without anion corrections: -0.861 eV per atom
- SG: Cmcm (63)

Unit cell a=5.9304 b=5.7722 c=6.1792 alpha=117.84 beta=90.00 gamma=90.00
Closest atoms and distances in Å follow each position.
Atoms (fractional coordinates):
O1 0.5000 0.7672 0.0000  2 Pd 2.02
Na1 0.2500 0.4081 0.8162  5 O 2.23-2.36
K1 0.2500 0.7125 0.4251  8 O 2.89-3.16
O2 0.7500 0.7956 0.5911  1 Pd 1.98
Pd1 0.2500 0.0235 0.0470  5 O 1.98-2.02
O3 0.2500 0.2044 0.4089  1 Pd 1.98
K2 0.7500 0.2875 0.5749  8 O 2.89-3.16
O4 0.0000 0.7672 0.0000  2 Pd 2.02
O5 0.0000 0.2328 0.0000  2 Pd 2.02
Na2 0.7500 0.5919 0.1838  5 O 2.23-2.36
Pd2 0.7500 0.9765 0.9530  5 O 1.98-2.02
O6 0.5000 0.2328 0.0000  2 Pd 2.02